# Rh2WSe PBEsol optimized geometry
# Formation energy (no corrections) in kJ per mole of atoms: 10.9
data_Rh2WSe
_chemical_formula_sum 'Rh4 W2 Se2'
_cell_length_a 9.019
_cell_length_b 2.896
_cell_length_c 4.525
_cell_angle_alpha 90.00
_cell_angle_beta 93.79
_cell_angle_gamma 90.00
_symmetry_space_group_name_H-M 'C 1 2/m 1'
_symmetry_Int_Tables_number 12
_symmetry_space_group_name_Hall '-C 2y'
loop_
_atom_site_label
_atom_site_fract_x
_atom_site_fract_y
_atom_site_fract_z
_atom_site_occupancy
Rh1 0.234 0.000 0.240 1
W1 0.000 0.500 0.000 1
Se1 0.000 0.000 0.500 1